Mn5Hg, optimized geometry, DFT GGA-PBE; space group = P-6m2 (187); final energy = -7.274 eV/atom; spin magnetization = 4.78 μB/f.u.; ΔE_f = 417 meV/atom
1.0
2.7726 0.0000 0.0000
-1.3863 2.4011 0.0000
0.0000 0.0000 12.6052
Mn Hg
5 1
direct
0.0000 0.0000 0.0000
0.0000 0.0000 0.3027
0.0000 0.0000 0.6973
0.3333 0.6667 0.1552
0.3333 0.6667 0.8448
0.3333 0.6667 0.5000